Record 1
NaPr3: optimized geometry, GGA-PBE.

Calculated values
D(E_F)	1.116	states/eV/atom
E_tot	-3.755	eV/atom
calculated formation energy	0.16	eV per atom
E above lowest polymorph	0.000	eV per atom

Unit cell a=3.771 b=6.246 c=7.034 alpha=116.36 beta=105.55 gamma=90.00
Sites, in units of the cell vectors:
1 Pr 0.746 0.112 0.493
2 Pr 0.500 0.462 0.000
3 Pr 0.254 0.619 0.507
4 Na 0.000 0.973 0.000



Record 2
LiZr2Cu: optimized geometry, GGA-PBE.

Calculated values
D(E_F)	0.736	states/eV/atom
E_tot	-5.763	eV/atom
calculated formation energy	0.01	eV per atom
E above lowest polymorph	0.000	eV per atom

Unit cell a=3.276 b=3.276 c=6.886 alpha=90.00 beta=90.00 gamma=90.00
Sites, in units of the cell vectors:
1 Cu 0.000 0.000 0.525
2 Zr 0.500 0.500 0.285
3 Li 0.500 0.500 0.703
4 Zr 0.000 0.000 0.987



Record 3
HfTiCoRu: optimized geometry, GGA-PBE.

Calculated values
D(E_F)	0.734	states/eV/atom
E_tot	-9.107	eV/atom
calculated formation energy	-0.55	eV per atom

Unit cell a=3.130 b=3.130 c=6.208 alpha=90.00 beta=90.00 gamma=90.00
Each line ends with the local moment (μB).
Sites, in units of the cell vectors:
1 Hf 0.500 0.500 0.100  -0.04
2 Co 0.000 0.000 0.844  0.76
3 Ru 0.000 0.000 0.371  0.05
4 Ti 0.500 0.500 0.613  -0.01



Record 4
LaBiO: optimized geometry, GGA-PBE.

Calculated values
energy relative to the elements, uncorrected	-1970.2	meV/atom
D(E_F)	0.383	states/eV/atom
E_tot	-6.559	eV/atom
E above lowest polymorph	0.000	eV per atom

Unit cell a=3.831 b=7.288 c=6.931 alpha=107.35 beta=106.04 gamma=90.00
Sites, in units of the cell vectors:
1 La 0.299 0.222 0.597
2 Bi 0.956 0.671 0.912
3 Bi 0.044 0.329 0.088
4 O 0.284 0.893 0.569
5 La 0.701 0.778 0.403
6 O 0.716 0.107 0.431



Record 5
Al2O2F: optimized geometry, GGA-PBE.

Calculated values
energy relative to the elements, uncorrected	-2387.9	meV/atom
D(E_F)	0.116	states/eV/atom
E_tot	-6.242	eV/atom

Unit cell a=6.128 b=6.128 c=6.065 alpha=120.34 beta=120.34 gamma=90.00
Sites, in units of the cell vectors:
1 Al 0.423 0.205 0.847
2 Al 0.455 0.173 0.347
3 Al 0.892 0.173 0.347
4 O 0.580 0.378 0.755
5 Al 0.423 0.642 0.847
6 F 0.329 0.829 0.658
7 O 0.628 0.330 0.255
8 F 0.079 0.079 0.158
9 O 0.628 0.925 0.255
10 O 0.175 0.378 0.755



Record 6
PrErIrRu: optimized geometry, GGA-PBE.

Calculated values
D(E_F)	0.728	states/eV/atom
E_tot	-7.300	eV/atom
calculated formation energy	-0.43	eV per atom

Unit cell a=4.910 b=4.910 c=4.910 alpha=60.00 beta=60.00 gamma=60.00
Sites, in units of the cell vectors:
1 Er 0.000 0.000 0.000
2 Ru 0.750 0.750 0.750
3 Pr 0.500 0.500 0.500
4 Ir 0.250 0.250 0.250